[1]
A plane-wave DFT calculation with PBE was carried out for ZrBiOsAu after structural relaxation.

The calculation puts the magnetic moment at 0.00 μB/f.u. The calculation puts the total energy at -6.400 eV per atom. The energy above the most stable polymorph in this dataset is 4.89 kcal/mol of atoms.

The structure belongs to space group F-43m (No. 216); the cell edges are 6.856, 6.856 and 6.856 Å and the angles 90.00°, 90.00° and 90.00°. Symmetry generates all atoms from Zr at (0.000, 0.000, 0.000), Bi at (0.250, 0.250, 0.250), Os at (0.250, 0.250, 0.750) and Au at (0.000, 0.000, 0.500).



[2]
A plane-wave DFT calculation with PBE was carried out for HfSiPd after structural relaxation.

The calculation puts the magnetic moment at 0.00 μB/f.u. The calculation puts the total energy at -7.365 eV per atom.

The structure belongs to space group P-62m (No. 189); the cell edges are 7.4403, 7.4403 and 3.1315 Å and the angles 90.00°, 90.00° and 120.00°. Symmetry generates all atoms from Hf at (0.0000, 0.2908, 0.0000), Si at (0.0000, 0.0000, 0.5000), Si at (0.3333, 0.6667, 0.0000) and Pd at (0.0000, 0.6339, 0.5000).



[3]
A plane-wave DFT calculation with PBE was carried out for CsLu2AgO4 after structural relaxation.

The calculation puts the magnetic moment at 0.00 μB/f.u. The calculation puts the total energy at -6.474 eV per atom.

The structure belongs to space group P-6m2 (No. 187); the cell edges are 3.4251, 3.4251 and 13.6095 Å and the angles 90.00°, 90.00° and 120.00°. Symmetry generates all atoms from Cs at (0.0000, 0.0000, 0.0000), Lu at (0.3333, 0.6667, 0.2736), Ag at (0.6667, 0.3333, 0.5000), O at (0.0000, 0.0000, 0.1936) and O at (0.6667, 0.3333, 0.3473).



Copy entry 1 word for word.
A plane-wave DFT calculation with PBE was carried out for ZrBiOsAu after structural relaxation.

The calculation puts the magnetic moment at 0.00 μB/f.u. The calculation puts the total energy at -6.400 eV per atom. The energy above the most stable polymorph in this dataset is 4.89 kcal/mol of atoms.

The structure belongs to space group F-43m (No. 216); the cell edges are 6.856, 6.856 and 6.856 Å and the angles 90.00°, 90.00° and 90.00°. Symmetry generates all atoms from Zr at (0.000, 0.000, 0.000), Bi at (0.250, 0.250, 0.250), Os at (0.250, 0.250, 0.750) and Au at (0.000, 0.000, 0.500).



What is the magnetic moment in the third record?
0.00 μB/f.u.